(1)
DFT (SCAN) results for a crystal of KTl4Pb relaxed with PBEsol.

Unit cell a=9.0431 b=9.0431 c=9.0431 alpha=90.00 beta=90.00 gamma=90.00
Closest atoms and distances in Å follow each position.
Space group F-43m (No. 216)
Symmetry-distinct sites (fractional):
K  0.0000  0.0000  0.0000 x4  12 Tl 3.75, 4 Pb 3.92
Tl  0.1244  0.1244  0.6244 x16  6 Tl 3.18-3.21
Pb  0.2500  0.2500  0.2500 x4  12 Tl 3.75, 4 K 3.92

Crystal system   cubic

---

(2)
DFT (SCAN) results for a crystal of KPb2W relaxed with PBEsol.

Unit cell a=3.3423 b=3.3423 c=30.6443 alpha=90.00 beta=90.00 gamma=120.00
Closest atoms and distances in Å follow each position.
Space group R-3m (No. 166, hexagonal axes)
Symmetry-distinct sites (fractional):
K  0.0000  0.0000  0.0000 x3  6 K 3.34, 6 Pb 3.51
Pb  0.0000  0.0000  0.2376 x6  3 W 2.91
W  0.0000  0.0000  0.5000 x3  6 Pb 2.91

Crystal system   trigonal

---

(3)
DFT (SCAN) results for a crystal of KPbW2 relaxed with PBEsol.

Unit cell a=4.0548 b=4.0548 c=9.9289 alpha=90.00 beta=90.00 gamma=90.00
Closest atoms and distances in Å follow each position.
Space group I4/mmm (No. 139)
Symmetry-distinct sites (fractional):
K  0.0000  0.0000  0.0000 x2  4 Pb 2.87, 8 W 3.20
Pb  0.0000  0.0000  0.5000 x2  4 K 2.87, 8 W 3.20
W  0.0000  0.5000  0.2500 x4  4 W 2.87, 4 K 3.20, 4 Pb 3.20

Crystal system   tetragonal

---

(4)
DFT (SCAN) results for a crystal of KPbW2 relaxed with PBEsol.

Unit cell a=2.9620 b=2.9620 c=33.0137 alpha=90.00 beta=90.00 gamma=120.00
Closest atoms and distances in Å follow each position.
Space group R-3m (No. 166, hexagonal axes)
Symmetry-distinct sites (fractional):
K  0.0000  0.0000  0.0000 x3  6 K 2.96
Pb  0.0000  0.0000  0.5000 x3  6 Pb 2.96, 6 W 2.98
W  0.0000  0.0000  0.2405 x6  6 W 2.96, 3 Pb 2.98

Crystal system   trigonal

---

The records above yield calculated formation energy values of -0.05 0.61 1.82 1.53 eV per atom, respectively.
The records above yield ρ values of 9.6 10.7 12.5 12.2 g cm⁻³, respectively.
The records above yield E values of -1495.49 -681.39 -432.39 -652.10 eV per cell, respectively.